No. 1
VASP calculation (PBE-GGA) on SbH2F8 after structural relaxation.

Cell: 5.3859 5.5055 6.8389 Å, 83.22 73.73 64.21°
Positions (direct):
Sb (0.0000, 0.0000, 0.0000)
H (0.1246, 0.5315, 0.2841)
H (0.8754, 0.4685, 0.7159)
F (0.0590, 0.3924, 0.3693)
F (0.1971, 0.2077, 0.0263)
F (0.2039, 0.7191, 0.1769)
F (0.2962, 0.8282, 0.7682)
F (0.7038, 0.1718, 0.2318)
F (0.7961, 0.2809, 0.8231)
F (0.8029, 0.7923, 0.9737)
F (0.9410, 0.6076, 0.6307)

M_tot	0.10	μB/atom
energy	-4.11	eV per atom
energy above the lowest structure with this stoichiometry	0.0000	eV/atom

---

No. 2
VASP calculation (PBE-GGA) on Hf2AsP after structural relaxation.

Cell: 3.6857 3.6857 19.3029 Å, 90.00 90.00 120.00°
Positions (direct):
Hf (0.0000, 0.0000, 0.0000)
Hf (0.0000, 0.0000, 0.1837)
Hf (0.3333, 0.6667, 0.6667)
Hf (0.3333, 0.6667, 0.8504)
Hf (0.6667, 0.3333, 0.3333)
Hf (0.6667, 0.3333, 0.5171)
As (0.0000, 0.0000, 0.4243)
As (0.3333, 0.6667, 0.0910)
As (0.6667, 0.3333, 0.7576)
P (0.0000, 0.0000, 0.5928)
P (0.3333, 0.6667, 0.2594)
P (0.6667, 0.3333, 0.9261)

M_tot	0.00	μB/atom
energy	-8.66	eV per atom
ΔE_f	-1.17	eV/atom

---

No. 3
VASP calculation (PBE-GGA) on NaGaTe2 after structural relaxation.

Cell: 4.4531 4.4531 7.7360 Å, 90.00 90.00 120.00°
Positions (direct):
Na (0.0000, 0.0000, 0.0000)
Ga (0.3333, 0.6667, 0.4848)
Te (0.3333, 0.6667, 0.8069)
Te (0.6667, 0.3333, 0.3299)

M_tot	0.00	μB/atom
ΔE_f (raw)	-0.4187	eV per atom
energy	-3.08	eV per atom

---

No. 4
VASP calculation (PBE-GGA) on BaSc2Ni after structural relaxation.

Cell: 6.8526 3.9429 8.8724 Å, 90.00 104.95 90.00°
Positions (direct):
Ba (0.0000, 0.0000, 0.0000)
Ba (0.5000, 0.5000, 0.0000)
Sc (0.2102, 0.0000, 0.6370)
Sc (0.4510, 0.0000, 0.3583)
Sc (0.7102, 0.5000, 0.6370)
Sc (0.9510, 0.5000, 0.3583)
Ni (0.3288, 0.5000, 0.4926)
Ni (0.8288, 0.0000, 0.4926)

M_tot	0.00	μB/atom
energy	-5.10	eV per atom
energy above the lowest structure with this stoichiometry	0.0136	eV/atom
ΔE_f	-0.01	eV/atom

---

No. 5
VASP calculation (PBE-GGA) on La3Al2Pd9Au after structural relaxation.

Cell: 5.7364 5.7364 11.5724 Å, 90.00 90.00 120.00°
Positions (direct):
La (0.0000, 0.0000, 0.0000)
La (0.3333, 0.6667, 0.6114)
La (0.6667, 0.3333, 0.3886)
Al (0.3333, 0.6667, 0.1602)
Al (0.6667, 0.3333, 0.8398)
Pd (0.0000, 0.5000, 0.0000)
Pd (0.1643, 0.3287, 0.3116)
Pd (0.1643, 0.8357, 0.3116)
Pd (0.3287, 0.1643, 0.6884)
Pd (0.5000, 0.0000, 0.0000)
Pd (0.5000, 0.5000, 0.0000)
Pd (0.6713, 0.8357, 0.3116)
Pd (0.8357, 0.1643, 0.6884)
Pd (0.8357, 0.6713, 0.6884)
Au (0.0000, 0.0000, 0.5000)

M_tot	0.00	μB/atom
energy	-5.45	eV per atom
ΔE_f	-0.63	eV/atom

---

No. 6
VASP calculation (PBE-GGA) on CsAcZrO4 after structural relaxation.

Cell: 6.7261 6.6446 8.3117 Å, 90.00 107.05 90.00°
Positions (direct):
Cs (0.1728, 0.2500, 0.4214)
Cs (0.8272, 0.7500, 0.5786)
Ac (0.3125, 0.2500, 0.9520)
Ac (0.6875, 0.7500, 0.0480)
Zr (0.2182, 0.7500, 0.1531)
Zr (0.7818, 0.2500, 0.8469)
O (0.0042, 0.7500, 0.9363)
O (0.0209, 0.7500, 0.2916)
O (0.4238, 0.5274, 0.1552)
O (0.4238, 0.9726, 0.1552)
O (0.5762, 0.0274, 0.8448)
O (0.5762, 0.4726, 0.8448)
O (0.9791, 0.2500, 0.7084)
O (0.9958, 0.2500, 0.0637)

M_tot	0.00	μB/atom
ΔE_f (raw)	-2.8358	eV per atom
energy	-7.60	eV per atom

---

No. 7
VASP calculation (PBE-GGA) on ReSbIr2 after structural relaxation.

Cell: 2.8879 4.5426 10.4080 Å, 90.00 90.00 90.00°
Positions (direct):
Re (0.0000, 0.0000, 0.0000)
Re (0.5000, 0.5000, 0.5000)
Sb (0.0000, 0.5000, 0.7243)
Sb (0.5000, 0.0000, 0.2243)
Ir (0.0000, 0.0000, 0.4462)
Ir (0.0000, 0.5000, 0.2796)
Ir (0.5000, 0.0000, 0.7796)
Ir (0.5000, 0.5000, 0.9462)

M_tot	0.00	μB/atom
ΔE_f (raw)	0.4256	eV per atom
energy	-8.15	eV per atom

---

No. 8
VASP calculation (PBE-GGA) on SmCu5Au after structural relaxation.

Cell: 8.2171 5.0834 10.3499 Å, 90.00 90.00 90.00°
Positions (direct):
Sm (0.2408, 0.2500, 0.0639)
Sm (0.2592, 0.7500, 0.5639)
Sm (0.7408, 0.2500, 0.4361)
Sm (0.7592, 0.7500, 0.9361)
Cu (0.0570, 0.7500, 0.1057)
Cu (0.0664, 0.0015, 0.3133)
Cu (0.0664, 0.4985, 0.3133)
Cu (0.0898, 0.2500, 0.5173)
Cu (0.1855, 0.2500, 0.7478)
Cu (0.3145, 0.7500, 0.2478)
Cu (0.4102, 0.7500, 0.0173)
Cu (0.4336, 0.5015, 0.8133)
Cu (0.4336, 0.9985, 0.8133)
Cu (0.4430, 0.2500, 0.6057)
Cu (0.5570, 0.7500, 0.3943)
Cu (0.5664, 0.0015, 0.1867)
Cu (0.5664, 0.4985, 0.1867)
Cu (0.5898, 0.2500, 0.9827)
Cu (0.6855, 0.2500, 0.7522)
Cu (0.8145, 0.7500, 0.2522)
Cu (0.9102, 0.7500, 0.4827)
Cu (0.9336, 0.5015, 0.6867)
Cu (0.9336, 0.9985, 0.6867)
Cu (0.9430, 0.2500, 0.8943)
Au (0.1397, 0.7500, 0.8613)
Au (0.3603, 0.2500, 0.3613)
Au (0.6397, 0.7500, 0.6387)
Au (0.8603, 0.2500, 0.1387)

M_tot	0.00	μB/atom
energy	-4.33	eV per atom
ΔE_f	-0.26	eV/atom